No. 1
The following is a PBE-GGA calculation of an optimized crystal structure of Rb3TlSe2, from the Alexandria database.

a b c (Å): 9.977 9.977 9.977
angles (deg): 131.59 71.33 131.02
Element x y z (fractional)
Rb  0.011  0.750  0.261
Rb  0.250  0.250  0.000
Rb  0.489  0.750  0.739
Rb  0.511  0.250  0.261
Rb  0.750  0.750  0.000
Rb  0.989  0.250  0.739
Tl  0.000  0.500  0.500
Tl  0.500  0.000  0.500
Se  0.132  0.229  0.360
Se  0.368  0.729  0.097
Se  0.632  0.271  0.903
Se  0.868  0.771  0.640

Output
Formation energy from raw total energies: -78 kJ per mole of atoms
Symmetry: No. 72
Spin magnetization: 0.00 μB per cell
Crystal system: orthorhombic
E above lowest polymorph: 0.053 eV/atom


No. 2
The following is a PBE-GGA calculation of an optimized crystal structure of CrRe3, from the Alexandria database.

a b c (Å): 4.711 4.711 2.747
angles (deg): 90.00 90.00 109.04
Element x y z (fractional)
Cr  0.000  0.000  0.000
Re  0.000  0.500  0.500
Re  0.500  0.000  0.500
Re  0.500  0.500  0.000

Output
ΔH_f (0 K): 14.4 kJ/mol of atoms
Symmetry: No. 65
Spin magnetization: 0.00 μB per cell
Fermi-level density of states: 4.5 states/eV per cell
Crystal system: orthorhombic


No. 3
The following is a PBE-GGA calculation of an optimized crystal structure of Cs2ZrInS5, from the Alexandria database.

a b c (Å): 10.520 10.520 14.731
angles (deg): 90.00 90.00 158.68
Element x y z (fractional)
Cs  0.122  0.878  0.500
Cs  0.138  0.862  0.119
Cs  0.862  0.138  0.619
Cs  0.878  0.122  0.000
Zr  0.213  0.787  0.825
Zr  0.787  0.213  0.325
In  0.430  0.570  0.253
In  0.570  0.430  0.753
S  0.075  0.925  0.859
S  0.291  0.709  0.439
S  0.311  0.689  0.204
S  0.328  0.672  0.815
S  0.496  0.504  0.119
S  0.504  0.496  0.619
S  0.672  0.328  0.315
S  0.689  0.311  0.704
S  0.709  0.291  0.939
S  0.925  0.075  0.359

Output
Formation energy from raw total energies: -100 kJ per mole of atoms
Symmetry: No. 36
Spin magnetization: 1.92 μB per cell
Fermi-level density of states: 8.0 states/eV per cell
Crystal system: orthorhombic


The evaluated VASP energy for the records listed, in turn: -17.10; -46.37; -42.98 eV/f.u..